# 1
A plane-wave DFT calculation with PBE-GGA was carried out for Na2InGa3Au12 after structural relaxation.

The space group is R-3m (No. 166, hexagonal axes) and the conventional cell measures 8.6316, 8.6316 and 18.7029 Å, with angles of 90.00, 90.00 and 120.00 degrees. Symmetry generates all atoms from Na at (0.0000, 0.0000, 0.0932), In at (0.0000, 0.0000, 0.5000), Ga at (0.0000, 0.5000, 0.0000), Au at (0.0217, 0.5109, 0.3762) and Au at (0.0298, 0.5149, 0.8622).

The formation energy comes out at 0.013 eV per atom.

=====

# 2
A plane-wave DFT calculation with PBE-GGA was carried out for NdY3Sc3 after structural relaxation.

The space group is R-3 (No. 148, hexagonal axes) and the conventional cell measures 8.3943, 8.3943 and 20.9833 Å, with angles of 90.00, 90.00 and 120.00 degrees. Symmetry generates all atoms from Nd at (0.0000, 0.0000, 0.1503), Y at (0.0529, 0.4492, 0.3809) and Sc at (0.0062, 0.2244, 0.5569).

The excess energy over the best structure of this formula in the dataset is 0.144 eV/atom. The formation energy comes out at 0.180 eV per atom.

=====

# 3
A plane-wave DFT calculation with PBE-GGA was carried out for Tb5PtRh2 after structural relaxation.

The space group is I4/mcm (No. 140) and the conventional cell measures 7.487, 7.487 and 13.700 Å, with angles of 90.00, 90.00 and 90.00 degrees. Symmetry generates all atoms from Tb at (0.000, 0.000, 0.000), Tb at (0.169, 0.331, 0.142), Pt at (0.000, 0.000, 0.250) and Rh at (0.134, 0.366, 0.500).

The formation energy comes out at -0.801 eV per atom.

=====

# 4
A plane-wave DFT calculation with PBE-GGA was carried out for Ce2I3Cl after structural relaxation.

The space group is C2/m (No. 12) and the conventional cell measures 20.333, 4.198 and 14.484 Å, with angles of 90.00, 125.49 and 90.00 degrees. Symmetry generates all atoms from Ce at (0.240, 0.000, 0.107), Ce at (0.244, 0.500, 0.382), I at (0.113, 0.500, 0.918), I at (0.118, 0.500, 0.448), I at (0.120, 0.000, 0.186) and Cl at (0.174, 0.000, 0.729).

The calculation puts the uncorrected formation energy at -1416 meV per atom.

=====

# 5
A plane-wave DFT calculation with PBE-GGA was carried out for PmPbF6 after structural relaxation.

The space group is R-3 (No. 148, hexagonal axes) and the conventional cell measures 5.8354, 5.8354 and 16.4036 Å, with angles of 90.00, 90.00 and 120.00 degrees. Symmetry generates all atoms from Pm at (0.0000, 0.0000, 0.0000), Pb at (0.0000, 0.0000, 0.5000) and F at (0.0014, 0.3867, 0.2504).

The calculation puts the uncorrected formation energy at -2998 meV per atom. The excess energy over the best structure of this formula in the dataset is 0.000 eV/atom.

=====

# 6
A plane-wave DFT calculation with PBE-GGA was carried out for LiTlZnSb2 after structural relaxation.

The space group is I-4m2 (No. 119) and the conventional cell measures 4.797, 4.797 and 11.354 Å, with angles of 90.00, 90.00 and 90.00 degrees. Symmetry generates all atoms from Li at (0.000, 0.000, 0.000), Tl at (0.000, 0.500, 0.750), Zn at (0.000, 0.000, 0.500) and Sb at (0.000, 0.500, 0.124).

The calculation puts the uncorrected formation energy at -157 meV per atom.

=====

# 7
A plane-wave DFT calculation with PBE-GGA was carried out for Rb2CeAlS5 after structural relaxation.

The space group is Cmc2_1 (No. 36) and the conventional cell measures 3.947, 19.893 and 14.373 Å, with angles of 90.00, 90.00 and 90.00 degrees. Symmetry generates all atoms from Rb at (0.000, 0.123, 0.000), Rb at (0.000, 0.130, 0.637), Ce at (0.000, 0.200, 0.339), Al at (0.000, 0.433, 0.739), S at (0.000, 0.054, 0.326), S at (0.000, 0.303, 0.963), S at (0.000, 0.320, 0.704), S at (0.000, 0.332, 0.322) and S at (0.000, 0.493, 0.611).

The calculation puts the uncorrected formation energy at -1231 meV per atom.

=====

# 8
A plane-wave DFT calculation with PBE-GGA was carried out for ErTlCdPb after structural relaxation.

The space group is Pmmm (No. 47) and the conventional cell measures 4.534, 4.665 and 4.953 Å, with angles of 90.00, 90.00 and 90.00 degrees. Symmetry generates all atoms from Er at (0.000, 0.000, 0.000), Tl at (0.500, 0.000, 0.500), Cd at (0.000, 0.500, 0.500) and Pb at (0.500, 0.500, 0.000).

The excess energy over the best structure of this formula in the dataset is 0.000 eV/atom. The formation energy comes out at -0.255 eV per atom.